Record 1
VASP calculation (GGA-PBE) on a relaxed structure of YBeP2S.

Values from the calculation:
- DOS(E_F) (states/eV/f.u.) = 5.0
- symmetry = No. 123
- energy (eV/atom) = -4.124

```
YBeP2S
1.0
-4.894 1.350 1.639
-1.173 -5.152 0.738
1.694 0.303 4.811
Y P S Be
1 2 1 1
Cartesian
0.000 0.000 0.000
-0.587 -2.576 0.369
-2.447 0.675 0.819
0.847 0.152 2.406
-2.187 -1.749 3.594
```

Record 2
VASP calculation (GGA-PBE) on a relaxed structure of Hf2TlSn.

Values from the calculation:
- calculated formation energy (eV/atom) = 0.09
- DOS(E_F) (states/eV/f.u.) = 5.3
- symmetry = No. 225

```
Hf2TlSn
1.0
0.000 3.556 3.556
3.556 0.000 3.556
3.556 3.556 0.000
Tl Hf Sn
1 2 1
Cartesian
3.556 3.556 3.556
1.778 1.778 1.778
5.334 5.334 5.334
0.000 0.000 0.000
```

Record 3
VASP calculation (GGA-PBE) on a relaxed structure of PmHoSc6.

Values from the calculation:
- calculated formation energy (eV/atom) = 0.02
- DOS(E_F) (states/eV/f.u.) = 15.3
- symmetry = No. 187

```
PmHoSc6
1.0
-1.466 -5.113 0.145
6.528 -1.876 -0.141
-3.101 1.058 5.951
Pm Ho Sc
1 1 6
Cartesian
-2.297 0.813 5.443
0.176 -2.720 3.487
-0.785 0.294 2.445
0.968 -0.124 5.418
2.550 -0.664 2.376
1.771 -3.261 0.536
3.438 -3.659 3.364
4.952 -4.175 0.465
```

Record 4
VASP calculation (GGA-PBE) on a relaxed structure of Na6S2O.

Values from the calculation:
- symmetry = No. 189
- energy (eV/atom) = -3.366

```
Na6S2O
1.0
-0.187 -1.399 3.633
-6.263 -2.908 -1.442
5.929 -3.664 -1.106
Na S O
6 2 1
Cartesian
-3.809 -2.425 0.961
-0.230 -3.376 0.779
-2.843 -5.779 -0.281
-1.455 -0.675 -0.335
-0.257 -5.046 -1.956
1.377 -0.851 -0.257
1.865 -3.412 -1.218
-2.199 -3.160 -1.330
-6.354 -3.606 0.375
```

Record 5
VASP calculation (GGA-PBE) on a relaxed structure of TlSnH.

Values from the calculation:
- DOS(E_F) (states/eV/f.u.) = 0.7
- symmetry = No. 63
- energy (eV/atom) = -3.023

```
TlSnH
1.0
7.273 0.000 0.000
0.000 6.659 0.000
0.000 0.000 5.771
H Tl Sn
4 4 4
Cartesian
5.371 1.665 5.771
5.538 4.994 2.885
1.902 4.994 0.001
1.735 1.665 2.886
0.000 0.000 0.000
3.636 3.329 2.886
3.636 0.000 2.886
0.000 3.329 0.000
3.544 1.665 5.771
0.093 4.994 2.886
3.729 4.994 0.000
7.180 1.665 2.886
```

Record 6
VASP calculation (GGA-PBE) on a relaxed structure of BPt2RhF.

Values from the calculation:
- DOS(E_F) (states/eV/f.u.) = 6.3
- symmetry = No. 123
- energy (eV/atom) = -5.472

```
BPt2RhF
1.0
4.124 0.000 0.000
0.000 4.182 0.000
0.000 0.000 4.124
B Rh Pt F
1 1 2 1
Cartesian
0.000 0.000 0.000
0.000 2.091 0.000
0.000 0.000 2.062
2.062 0.000 0.000
2.062 2.091 2.062
```

Number 1: spin magnetization 1.3 μB per formula unit. Number 2: spin magnetization 0.0 μB per formula unit. Number 3: spin magnetization 1.9 μB per formula unit. Number 4: spin magnetization 0.0 μB per formula unit. Number 5: spin magnetization 0.0 μB per formula unit. Number 6: spin magnetization 0.9 μB per formula unit.